The following is a DFT calculation (PBE) of a relaxed structure of La5Pr3Sm3.

## Properties
* calculated total energy: -4.558 eV/atom
* theoretical density: 6.36 g/cm3
* space group: P-62m (189)

Unit cell a=11.5938 b=11.5938 c=3.5184 alpha=90.00 beta=90.00 gamma=120.00
Closest atoms and distances in Å follow each position.
Element x y z (fractional)
La 0.0000 0.6617 0.0000  2 Sm 3.40, 2 Pr 3.50, 2 La 3.52
La 0.3333 0.6667 0.0000  5 La 3.52-3.84
La 0.3383 0.3383 0.0000  2 Sm 3.40, 2 Pr 3.50, 2 La 3.52
La 0.6617 0.0000 0.0000  2 Sm 3.40, 2 Pr 3.50, 2 La 3.52
La 0.6667 0.3333 0.0000  5 La 3.52-3.84
Pr 0.0000 0.4009 0.5000  2 Sm 3.31, 2 La 3.50, 2 Pr 3.52
Pr 0.4009 0.0000 0.5000  2 Sm 3.31, 2 La 3.50, 2 Pr 3.52
Pr 0.5991 0.5991 0.5000  2 Sm 3.31, 2 La 3.50, 2 Pr 3.52
Sm 0.0000 0.1592 0.0000  4 Sm 3.20-3.52, 2 Pr 3.31, 2 La 3.40
Sm 0.1592 0.0000 0.0000  4 Sm 3.20-3.52, 2 Pr 3.31, 2 La 3.40
Sm 0.8408 0.8408 0.0000  4 Sm 3.20-3.52, 2 Pr 3.31, 2 La 3.40